Entry 1:
First-principles (GGA-PBE) data for a relaxed ZrAlV crystal, as listed in Alexandria via LeMat-Bulk.

## Properties
Energy of formation from the pure elements, eV/f.u.: -0.75
Space-group type: P4mm, No. 99
Energy relative to the lowest polymorph listed for this composition, eV/atom: 0.039

Cell lengths 3.133, 3.133, 10.660 Å; angles 90.00, 90.00, 90.00 degrees
Atoms (fractional coordinates):
Zr1 0.000 0.000 0.000
Zr2 0.000 0.000 0.376
Al1 0.500 0.500 0.185
Al2 0.500 0.500 0.811
V1 0.000 0.000 0.663
V2 0.500 0.500 0.552

=====

Entry 2:
First-principles (GGA-PBE) data for a relaxed RbSe2Br2 crystal, as listed in Alexandria via LeMat-Bulk.

## Properties
Space-group type: P4/mbm, No. 127
Energy relative to the lowest polymorph listed for this composition, eV/atom: 0.054

Cell lengths 9.030, 9.030, 4.589 Å; angles 90.00, 90.00, 90.00 degrees
Atoms (fractional coordinates):
Rb1 0.000 0.000 0.000
Rb2 0.500 0.500 0.000
Se1 0.085 0.415 0.000
Se2 0.415 0.915 0.000
Se3 0.585 0.085 0.000
Se4 0.915 0.585 0.000
Br1 0.247 0.253 0.500
Br2 0.253 0.753 0.500
Br3 0.747 0.247 0.500
Br4 0.753 0.747 0.500

=====

Entry 3:
First-principles (GGA-PBE) data for a relaxed MnMoSe2 crystal, as listed in Alexandria via LeMat-Bulk.

## Properties
Space-group type: P2/m, No. 10
Energy relative to the lowest polymorph listed for this composition, eV/atom: 0.397

Cell lengths 4.101, 3.334, 5.296 Å; angles 90.00, 106.37, 90.00 degrees
Atoms (fractional coordinates):
Mn1 0.000 0.000 0.000
Mo1 0.500 0.500 0.500
Se1 0.000 0.000 0.500
Se2 0.500 0.500 0.000

=====

Entry 4:
First-principles (GGA-PBE) data for a relaxed Zr9N3O crystal, as listed in Alexandria via LeMat-Bulk.

## Properties
Space-group type: Pmma, No. 51

Cell lengths 8.712, 9.766, 5.361 Å; angles 90.00, 90.00, 90.00 degrees
Atoms (fractional coordinates):
Zr1 0.079 0.165 0.249
Zr2 0.079 0.835 0.249
Zr3 0.084 0.500 0.248
Zr4 0.250 0.000 0.707
Zr5 0.250 0.325 0.800
Zr6 0.250 0.675 0.800
Zr7 0.416 0.500 0.248
Zr8 0.421 0.165 0.249
Zr9 0.421 0.835 0.249
Zr10 0.579 0.165 0.751
Zr11 0.579 0.835 0.751
Zr12 0.584 0.500 0.752
Zr13 0.750 0.000 0.293
Zr14 0.750 0.325 0.200
Zr15 0.750 0.675 0.200
Zr16 0.916 0.500 0.752
Zr17 0.921 0.165 0.751
Zr18 0.921 0.835 0.751
N1 0.000 0.000 0.500
N2 0.000 0.339 0.000
N3 0.000 0.661 0.000
N4 0.500 0.000 0.500
N5 0.500 0.339 0.000
N6 0.500 0.661 0.000
O1 0.250 0.500 0.561
O2 0.750 0.500 0.439

=====

Table of total DFT energy (no corrections) (Ry per atom), in record order: -0.543 -0.202 -0.489 -0.688